Record 1
Here is a relaxed structure of TlCl from the Alexandria database. Energies are from GGA-PBE.

Cell: 9.880 9.880 9.880 Å, 90.00 90.00 90.00°
Atoms (fractional coordinates):
Tl (0.344, 0.344, 0.344)
Tl (0.344, 0.656, 0.656)
Tl (0.656, 0.344, 0.656)
Tl (0.656, 0.656, 0.344)
Tl (0.844, 0.844, 0.844)
Tl (0.844, 0.156, 0.156)
Tl (0.156, 0.844, 0.156)
Tl (0.156, 0.156, 0.844)
Cl (0.152, 0.152, 0.152)
Cl (0.152, 0.848, 0.848)
Cl (0.848, 0.152, 0.848)
Cl (0.848, 0.848, 0.152)
Cl (0.652, 0.652, 0.652)
Cl (0.652, 0.348, 0.348)
Cl (0.348, 0.652, 0.348)
Cl (0.348, 0.348, 0.652)

Calculated values
For the total energy, the calculation gives -48.735 eV per cell. For the total magnetization, the calculation gives 0.000 μB per formula unit. The symmetry is No. 217.



Record 2
Here is a relaxed structure of CdRe2GeOs from the Alexandria database. Energies are from GGA-PBE.

Cell: 4.580 4.562 4.580 Å, 90.00 90.00 90.00°
Atoms (fractional coordinates):
Re (0.000, 0.000, 0.500)
Re (0.500, 0.000, 0.000)
Ge (0.000, 0.000, 0.000)
Os (0.000, 0.500, 0.000)
Cd (0.500, 0.500, 0.500)

Calculated values
The calculation puts the formation energy from the elements at 38.82 kcal/mol of atoms. For the total magnetization, the calculation gives 1.121 μB per formula unit. The symmetry is No. 123.



Record 3
Here is a relaxed structure of TcPb3 from the Alexandria database. Energies are from GGA-PBE.

Cell: 5.760 5.760 5.760 Å, 131.91 131.91 70.37°
Atoms (fractional coordinates):
Pb (0.250, 0.750, 0.500)
Pb (0.500, 0.500, 0.000)
Pb (0.750, 0.250, 0.500)
Tc (0.000, 0.000, 0.000)

Calculated values
Its energy above the lowest structure with this stoichiometry is 0.4016 eV per atom. The calculation puts the formation energy from the elements at 16.34 kcal/mol of atoms. For the total magnetization, the calculation gives 2.615 μB per formula unit. The symmetry is No. 139.



Record 4
Here is a relaxed structure of InWAu2 from the Alexandria database. Energies are from GGA-PBE.

Cell: 2.905 2.905 8.624 Å, 90.00 90.00 89.99°
Atoms (fractional coordinates):
Au (0.000, 0.000, 0.987)
Au (0.500, 0.500, 0.246)
In (0.000, 0.000, 0.507)
W (0.500, 0.500, 0.760)

Calculated values
The calculation puts the formation energy from the elements at 6.67 kcal/mol of atoms. For the total magnetization, the calculation gives 0.000 μB per formula unit. The symmetry is No. 99.



Record 5
Here is a relaxed structure of ZrV2PtN from the Alexandria database. Energies are from GGA-PBE.

Cell: 3.947 3.947 4.491 Å, 90.00 90.00 90.00°
Atoms (fractional coordinates):
N (0.000, 0.000, 0.000)
Zr (0.000, 0.000, 0.500)
Pt (0.500, 0.500, 0.500)
V (0.000, 0.500, 0.000)
V (0.500, 0.000, 0.000)

Calculated values
For the total energy, the calculation gives -45.546 eV per cell. For the total magnetization, the calculation gives 0.000 μB per formula unit. The symmetry is No. 123.



Record 6
Here is a relaxed structure of TaNb6Sn from the Alexandria database. Energies are from GGA-PBE.

Cell: 2.739 5.021 11.131 Å, 90.00 90.00 90.00°
Atoms (fractional coordinates):
Ta (0.000, 0.000, 0.000)
Nb (0.500, 0.000, 0.746)
Nb (0.000, 0.500, 0.634)
Nb (0.500, 0.500, 0.123)
Nb (0.500, 0.500, 0.877)
Nb (0.000, 0.500, 0.366)
Nb (0.500, 0.000, 0.254)
Sn (0.000, 0.000, 0.500)

Calculated values
Its energy above the lowest structure with this stoichiometry is 0.3204 eV per atom. The calculation puts the formation energy from the elements at 4.34 kcal/mol of atoms. For the total magnetization, the calculation gives 0.000 μB per formula unit. The symmetry is No. 47.



Record 7
Here is a relaxed structure of NdPu3Bi4 from the Alexandria database. Energies are from GGA-PBE.

Cell: 7.885 7.892 9.151 Å, 90.00 90.00 109.72°
Atoms (fractional coordinates):
Nd (0.750, 0.000, 0.875)
Nd (0.250, 0.000, 0.125)
Bi (0.002, 0.252, 0.623)
Bi (0.500, 0.255, 0.873)
Bi (0.502, 0.252, 0.377)
Bi (0.000, 0.255, 0.127)
Bi (0.000, 0.745, 0.873)
Bi (0.498, 0.748, 0.623)
Bi (0.500, 0.745, 0.127)
Bi (0.998, 0.748, 0.377)
Pu (0.750, 0.000, 0.375)
Pu (0.250, 0.000, 0.625)
Pu (0.750, 0.500, 0.624)
Pu (0.750, 0.500, 0.125)
Pu (0.250, 0.500, 0.376)
Pu (0.250, 0.500, 0.875)

Calculated values
The calculation puts the formation energy from the elements at -10.83 kcal/mol of atoms. For the total magnetization, the calculation gives 5.307 μB per formula unit. The symmetry is No. 13.



Record 8
Here is a relaxed structure of K3AsO3 from the Alexandria database. Energies are from GGA-PBE.

Cell: 5.526 8.282 8.282 Å, 119.96 90.00 90.00°
Atoms (fractional coordinates):
K (0.250, 0.649, 0.824)
K (0.250, 0.175, 0.351)
K (0.250, 0.176, 0.825)
K (0.750, 0.351, 0.176)
K (0.750, 0.825, 0.649)
K (0.750, 0.824, 0.175)
As (0.750, 0.333, 0.667)
As (0.250, 0.667, 0.333)
O (0.750, 0.591, 0.795)
O (0.750, 0.204, 0.409)
O (0.750, 0.204, 0.796)
O (0.250, 0.409, 0.205)
O (0.250, 0.796, 0.591)
O (0.250, 0.796, 0.204)

Calculated values
For the total energy, the calculation gives -62.625 eV per cell. For the total magnetization, the calculation gives 0.739 μB per formula unit. The symmetry is No. 63.



Record 9
Here is a relaxed structure of Na2HN from the Alexandria database. Energies are from GGA-PBE.

Cell: 4.019 5.840 6.209 Å, 90.00 90.00 110.12°
Atoms (fractional coordinates):
Na (0.336, 0.672, 0.982)
Na (0.664, 0.328, 0.018)
Na (0.664, 0.328, 0.482)
Na (0.336, 0.672, 0.518)
H (0.924, 0.848, 0.750)
H (0.076, 0.152, 0.250)
N (0.829, 0.657, 0.750)
N (0.171, 0.343, 0.250)

Calculated values
For the total energy, the calculation gives -29.187 eV per cell. For the total magnetization, the calculation gives 0.000 μB per formula unit. The symmetry is No. 63.



Record 10
Here is a relaxed structure of YCr3Ir from the Alexandria database. Energies are from GGA-PBE.

Cell: 4.389 4.389 4.389 Å, 90.00 90.00 90.00°
Atoms (fractional coordinates):
Y (0.000, 0.000, 0.000)
Cr (0.000, 0.500, 0.000)
Cr (0.000, 0.000, 0.500)
Cr (0.500, 0.000, 0.000)
Ir (0.500, 0.500, 0.500)

Calculated values
Its energy above the lowest structure with this stoichiometry is 1.7081 eV per atom. The calculation puts the formation energy from the elements at 57.50 kcal/mol of atoms. For the total magnetization, the calculation gives 0.010 μB per formula unit. The symmetry is No. 221.



Record 11
Here is a relaxed structure of La2H8Ir from the Alexandria database. Energies are from GGA-PBE.

Cell: 3.934 4.463 7.071 Å, 108.36 106.15 90.00°
Atoms (fractional coordinates):
La (0.855, 0.355, 0.710)
La (0.145, 0.645, 0.290)
H (0.395, 0.665, 0.791)
H (0.607, 0.886, 0.214)
H (0.760, 0.759, 0.519)
H (0.000, 0.188, 0.000)
H (0.240, 0.241, 0.481)
H (0.393, 0.114, 0.786)
H (0.605, 0.335, 0.209)
H (0.000, 0.812, 0.000)
Ir (0.500, 0.000, 0.000)

Calculated values
For the total energy, the calculation gives -49.623 eV per cell. For the total magnetization, the calculation gives 0.000 μB per formula unit. The symmetry is No. 12.



Record 12
Here is a relaxed structure of LaTbPm2Y2 from the Alexandria database. Energies are from GGA-PBE.

Cell: 3.415 6.654 18.215 Å, 90.00 90.00 90.00°
Atoms (fractional coordinates):
La (0.000, 0.000, 0.000)
La (0.500, 0.500, 0.500)
Tb (0.500, 0.500, 0.000)
Tb (0.000, 0.000, 0.500)
Pm (0.500, 0.279, 0.315)
Pm (0.000, 0.779, 0.185)
Pm (0.500, 0.721, 0.685)
Pm (0.000, 0.221, 0.815)
Y (0.500, 0.783, 0.352)
Y (0.500, 0.217, 0.648)
Y (0.000, 0.717, 0.852)
Y (0.000, 0.283, 0.148)

Calculated values
The calculation puts the formation energy from the elements at 6.26 kcal/mol of atoms. For the total magnetization, the calculation gives 0.004 μB per formula unit. The symmetry is No. 58.